(1)
{"formula": "TcPtBr2", "functional": "PBE", "state": "optimized geometry", "raw_formation_energy_ev_per_atom": 0.83, "e_above_lowest_polymorph_mev_per_atom": 790, "crystal_system": "monoclinic", "lattice": [[4.3976, 0.0000, 0.0000], [0.0000, 3.2121, -0.0057], [0.0000, -0.4607, 5.4742]], "species": ["Br", "Br", "Tc", "Pt"], "fractional_positions": [[0.0000, 0.9719, 0.9936], [0.0000, 0.5281, 0.5064], [0.5000, 0.7500, 0.7500], [0.5000, 0.2500, 0.2500]]}


(2)
{"formula": "TcPtBr2", "functional": "PBE", "state": "optimized geometry", "raw_formation_energy_ev_per_atom": 0.33, "e_above_lowest_polymorph_mev_per_atom": 290, "crystal_system": "orthorhombic", "lattice": [[7.6326, 0.1063, 0.0023], [5.5659, 5.2239, -0.0023], [-6.1966, -3.6622, 2.5414]], "species": ["Br", "Br", "Tc", "Pt"], "fractional_positions": [[0.8949, 0.8949, 0.0000], [0.6051, 0.6051, 0.0000], [0.7500, 0.2500, 0.5000], [0.2500, 0.7500, 0.5000]]}


(3)
{"formula": "Tc2PtBr", "functional": "PBE", "state": "optimized geometry", "raw_formation_energy_ev_per_atom": 0.48, "e_above_lowest_polymorph_mev_per_atom": 154, "crystal_system": "monoclinic", "lattice": [[-2.6440, 2.2415, -3.2841], [-0.9440, 0.3298, -4.6691], [-6.0414, -3.3285, -2.8210]], "species": ["Br", "Tc", "Tc", "Pt"], "fractional_positions": [[0.7500, 0.7500, 0.7500], [0.0322, 0.0322, 0.0962], [0.4678, 0.4678, 0.4038], [0.2500, 0.2500, 0.2500]]}


(4)
{"formula": "TcPtBr2", "functional": "PBE", "state": "optimized geometry", "raw_formation_energy_ev_per_atom": 0.20, "e_above_lowest_polymorph_mev_per_atom": 158, "crystal_system": "orthorhombic", "lattice": [[3.4146, 0.0000, 0.0000], [0.0000, 3.6528, -0.0139], [0.0000, 1.8489, 7.8614]], "species": ["Br", "Br", "Tc", "Pt"], "fractional_positions": [[0.0000, 0.8530, 0.9202], [0.5000, 0.1353, 0.3525], [0.5000, 0.9743, 0.6771], [0.0000, 0.5374, 0.5502]]}


(5)
{"formula": "TcPtBr2", "functional": "PBE", "state": "optimized geometry", "raw_formation_energy_ev_per_atom": 0.34, "e_above_lowest_polymorph_mev_per_atom": 302, "crystal_system": "monoclinic", "lattice": [[6.9139, 0.0692, -0.0934], [6.1582, 3.1437, -0.0934], [0.5979, 0.1470, 4.6843]], "species": ["Br", "Br", "Tc", "Pt"], "fractional_positions": [[0.8893, 0.8893, 0.0568], [0.6107, 0.6107, 0.4432], [0.2500, 0.2500, 0.2500], [0.7500, 0.7500, 0.7500]]}


(6)
{"formula": "Tc2PtBr", "functional": "PBE", "state": "optimized geometry", "raw_formation_energy_ev_per_atom": 0.35, "e_above_lowest_polymorph_mev_per_atom": 17, "crystal_system": "trigonal", "lattice": [[-3.9133, -4.6677, -7.3951], [-3.0832, -6.9311, -5.8516], [-5.5989, -5.6760, -5.3126]], "species": ["Br", "Tc", "Tc", "Pt"], "fractional_positions": [[0.5111, 0.5111, 0.5111], [0.9936, 0.9936, 0.9936], [0.2549, 0.2549, 0.2549], [0.7404, 0.7404, 0.7404]]}


no.,volume (Å³ per atom)
1,19.33
2,24.95
3,20.99
4,24.54
5,25.00
6,16.74